1.
VASP calculation (PBE-GGA) on a geometry-optimized Pm7NdTm3 structure.

```
data_Pm7NdTm3
_chemical_formula_sum 'Pm14 Nd2 Tm6'
_symmetry_space_group_name_H-M 'P -1'
_symmetry_Int_Tables_number 2
_cell_length_a 7.218
_cell_length_b 10.204
_cell_length_c 12.469
_cell_angle_alpha 113.91
_cell_angle_beta 90.03
_cell_angle_gamma 110.66
loop_
_symmetry_equiv_pos_as_xyz
'x,y,z'
'-x,-y,-z'
loop_
_atom_site_label
_atom_site_fract_x
_atom_site_fract_y
_atom_site_fract_z
Pm1 0.080 0.164 0.470
Pm2 0.081 0.163 0.970
Pm3 0.242 0.500 0.750
Pm4 0.331 0.176 0.225
Pm5 0.345 0.177 0.725
Pm6 0.416 0.836 0.030
Pm7 0.418 0.837 0.530
Nd1 0.000 0.500 0.000
Nd2 0.000 0.500 0.500
Tm1 0.165 0.837 0.277
Tm2 0.172 0.837 0.777
Tm3 0.500 0.500 0.000
Tm4 0.500 0.500 0.500
```

***

2.
VASP calculation (PBE-GGA) on a geometry-optimized Pm2NdTm8 structure.

```
data_Pm2NdTm8
_chemical_formula_sum 'Pm4 Nd2 Tm16'
_symmetry_space_group_name_H-M 'C 1 2/m 1'
_symmetry_Int_Tables_number 12
_cell_length_a 18.023
_cell_length_b 5.004
_cell_length_c 7.901
_cell_angle_alpha 90.00
_cell_angle_beta 105.22
_cell_angle_gamma 90.00
loop_
_symmetry_equiv_pos_as_xyz
'x,y,z'
'-x,-y,-z'
'-x,y,-z'
'x,-y,z'
'x+1/2,y+1/2,z'
'-x+1/2,-y+1/2,-z'
'-x+1/2,y+1/2,-z'
'x+1/2,-y+1/2,z'
loop_
_atom_site_label
_atom_site_fract_x
_atom_site_fract_y
_atom_site_fract_z
Pm1 0.227 0.000 0.137
Nd1 0.000 0.500 0.500
Tm1 0.045 0.000 0.226
Tm2 0.090 0.500 0.955
Tm3 0.136 0.000 0.680
Tm4 0.182 0.500 0.408
```

***

3.
VASP calculation (PBE-GGA) on a geometry-optimized Pm4Nd3Tm4 structure.

```
data_Pm4Nd3Tm4
_chemical_formula_sum 'Pm8 Nd6 Tm8'
_symmetry_space_group_name_H-M 'A m m 2'
_symmetry_Int_Tables_number 38
_cell_length_a 10.732
_cell_length_b 5.729
_cell_length_c 12.062
_cell_angle_alpha 90.00
_cell_angle_beta 90.00
_cell_angle_gamma 90.00
loop_
_symmetry_equiv_pos_as_xyz
'x,y,z'
'-x,-y,z'
'-x,y,z'
'x,-y,z'
'x,y+1/2,z+1/2'
'-x,-y+1/2,z+1/2'
'-x,y+1/2,z+1/2'
'x,-y+1/2,z+1/2'
loop_
_atom_site_label
_atom_site_fract_x
_atom_site_fract_y
_atom_site_fract_z
Pm1 0.000 0.000 0.000
Pm2 0.213 0.000 0.792
Pm3 0.500 0.000 0.925
Nd1 0.000 0.000 0.294
Nd2 0.289 0.000 0.452
Tm1 0.000 0.000 0.597
Tm2 0.303 0.000 0.145
Tm3 0.500 0.000 0.652
```

***

4.
VASP calculation (PBE-GGA) on a geometry-optimized PmNd9Tm2 structure.

```
data_PmNd9Tm2
_chemical_formula_sum 'Pm1 Nd9 Tm2'
_symmetry_space_group_name_H-M 'P 4/m m m'
_symmetry_Int_Tables_number 123
_symmetry_space_group_name_Hall '-P 4 2'
_cell_length_a 5.155
_cell_length_b 5.155
_cell_length_c 15.469
_cell_angle_alpha 90.00
_cell_angle_beta 90.00
_cell_angle_gamma 90.00
loop_
_atom_site_label
_atom_site_fract_x
_atom_site_fract_y
_atom_site_fract_z
Pm1 0.000 0.000 0.000
Nd1 0.000 0.500 0.169
Nd2 0.000 0.500 0.500
Nd3 0.500 0.500 0.000
Nd4 0.500 0.500 0.335
Tm1 0.000 0.000 0.335
```

***

5.
VASP calculation (PBE-GGA) on a geometry-optimized Pm6Nd16Tm7 structure.

```
data_Pm6Nd16Tm7
_chemical_formula_sum 'Pm24 Nd64 Tm28'
_symmetry_space_group_name_H-M 'F m -3 m'
_symmetry_Int_Tables_number 225
_symmetry_space_group_name_Hall '-F 4 2 3'
_cell_length_a 15.967
_cell_length_b 15.967
_cell_length_c 15.967
_cell_angle_alpha 90.00
_cell_angle_beta 90.00
_cell_angle_gamma 90.00
loop_
_atom_site_label
_atom_site_fract_x
_atom_site_fract_y
_atom_site_fract_z
Pm1 0.000 0.000 0.209
Nd1 0.122 0.122 0.378
Nd2 0.153 0.153 0.153
Tm1 0.000 0.000 0.500
Tm2 0.000 0.250 0.250
```

***

6.
VASP calculation (PBE-GGA) on a geometry-optimized Pm2NdTm6 structure.

```
data_Pm2NdTm6
_chemical_formula_sum 'Pm8 Nd4 Tm24'
_symmetry_space_group_name_H-M 'C 1 2/c 1'
_symmetry_Int_Tables_number 15
_cell_length_a 12.799
_cell_length_b 14.060
_cell_length_c 6.537
_cell_angle_alpha 90.00
_cell_angle_beta 102.74
_cell_angle_gamma 90.00
loop_
_symmetry_equiv_pos_as_xyz
'x,y,z'
'-x,-y,-z'
'-x,y,-z+1/2'
'x,-y,z+1/2'
'x+1/2,y+1/2,z'
'-x+1/2,-y+1/2,-z'
'-x+1/2,y+1/2,-z+1/2'
'x+1/2,-y+1/2,z+1/2'
loop_
_atom_site_label
_atom_site_fract_x
_atom_site_fract_y
_atom_site_fract_z
Pm1 0.142 0.027 0.373
Nd1 0.000 0.379 0.250
Tm1 0.034 0.188 0.000
Tm2 0.133 0.413 0.818
Tm3 0.240 0.203 0.735
```

***

7.
VASP calculation (PBE-GGA) on a geometry-optimized PmNdTm structure.

```
data_PmNdTm
_chemical_formula_sum 'Pm2 Nd2 Tm2'
_symmetry_space_group_name_H-M 'I 4 m m'
_symmetry_Int_Tables_number 107
_symmetry_space_group_name_Hall 'I 4 -2'
_cell_length_a 3.615
_cell_length_b 3.615
_cell_length_c 15.269
_cell_angle_alpha 90.00
_cell_angle_beta 90.00
_cell_angle_gamma 90.00
loop_
_atom_site_label
_atom_site_fract_x
_atom_site_fract_y
_atom_site_fract_z
Pm1 0.000 0.000 0.000
Nd1 0.000 0.000 0.329
Tm1 0.000 0.000 0.664
```

***

8.
VASP calculation (PBE-GGA) on a geometry-optimized Pm2NdTm3 structure.

```
data_Pm2NdTm3
_chemical_formula_sum 'Pm8 Nd4 Tm12'
_symmetry_space_group_name_H-M 'C m c 21'
_symmetry_Int_Tables_number 36
_cell_length_a 9.484
_cell_length_b 13.157
_cell_length_c 6.369
_cell_angle_alpha 90.00
_cell_angle_beta 90.00
_cell_angle_gamma 90.00
loop_
_symmetry_equiv_pos_as_xyz
'x,y,z'
'-x,-y,z+1/2'
'-x,y,z'
'x,-y,z+1/2'
'x+1/2,y+1/2,z'
'-x+1/2,-y+1/2,z+1/2'
'-x+1/2,y+1/2,z'
'x+1/2,-y+1/2,z+1/2'
loop_
_atom_site_label
_atom_site_fract_x
_atom_site_fract_y
_atom_site_fract_z
Pm1 0.181 0.057 0.000
Nd1 0.000 0.326 0.226
Tm1 0.000 0.417 0.750
Tm2 0.182 0.197 0.549
```

***

Calculated calculated formation energy (eV/atom), listed in the same order as above: 0.1747 0.0264 0.1532 0.0160 0.2010 0.1013 0.0257 0.2144